Compound: NdDy2Bi2Te2
Source: Alexandria via LeMat-Bulk
Functional: PBE
Structure: relaxed

As for the formation energy from raw total energies: -0.477 eV per atom. For the density of states at the Fermi level, the calculation gives 0.787 states/eV per atom. The value obtained for the magnetic moment is 0.00 μB per formula unit. The space group is No. 139.

The structure in extended XYZ format:
```
7
Lattice="6.010 0.000 0.000 0.000 6.010 0.000 -3.005 -3.005 7.634" Properties=species:S:1:pos:R:3 pbc="T T T"
Nd 0.000 0.000 0.000
Dy 0.000 0.000 5.930
Dy 3.005 3.005 1.704
Bi 0.000 3.005 0.000
Bi 3.005 0.000 0.000
Te 0.000 0.000 3.091
Te 3.005 3.005 4.543
```

---

Compound: Ti2AlZn3
Source: Alexandria via LeMat-Bulk
Functional: PBE
Structure: relaxed

For the density of states at the Fermi level, the calculation gives 0.931 states/eV per atom. The value obtained for the magnetic moment is 0.15 μB per formula unit. The value obtained for the formation energy is -0.11 eV per atom. The space group is No. 44.

The structure in extended XYZ format:
```
6
Lattice="-1.658 2.277 -0.056 -2.124 -1.564 -0.702 -0.884 -2.075 12.602" Properties=species:S:1:pos:R:3 pbc="T T T"
Ti -0.705 -0.436 3.104
Ti -2.904 -0.146 9.110
Al -3.581 -2.341 10.739
Zn -3.031 -0.349 4.641
Zn -2.147 0.198 0.747
Zn -2.695 -1.793 6.837
```

---

Compound: Ta5Mo2
Source: Alexandria via LeMat-Bulk
Functional: PBE
Structure: relaxed

For the density of states at the Fermi level, the calculation gives 0.844 states/eV per atom. The value obtained for the magnetic moment is 0.00 μB per formula unit. The value obtained for the formation energy is -0.10 eV per atom. The value obtained for the energy above the most stable polymorph in this dataset is 24 kJ/mol of formula units. The space group is No. 12.

The structure in extended XYZ format:
```
7
Lattice="5.418 0.001 0.006 4.440 3.106 0.006 1.074 0.338 7.272" Properties=species:S:1:pos:R:3 pbc="T T T"
Mo 1.080 0.340 7.245
Mo 4.986 1.572 5.227
Ta 7.962 2.510 6.242
Ta 1.934 0.610 4.160
Ta 8.911 2.809 3.200
Ta 5.939 1.872 2.012
Ta 3.057 0.964 1.039
```

---

Compound: Ca3WC
Source: Alexandria via LeMat-Bulk
Functional: PBE
Structure: relaxed

For the density of states at the Fermi level, the calculation gives 0.591 states/eV per atom. The value obtained for the magnetic moment is 2.00 μB per formula unit. The value obtained for the formation energy is 2.15 eV per atom. The value obtained for the energy above the most stable polymorph in this dataset is 526 kJ/mol of formula units. The space group is No. 221.

The structure in extended XYZ format:
```
5
Lattice="5.453 0.000 0.000 0.000 5.453 0.000 0.000 0.000 5.453" Properties=species:S:1:pos:R:3 pbc="T T T"
Ca 0.000 2.727 0.000
Ca 0.000 0.000 2.727
Ca 2.727 0.000 0.000
C 2.727 2.727 2.727
W 0.000 0.000 0.000
```

---

Compound: NaSn2Au
Source: Alexandria via LeMat-Bulk
Functional: PBE
Structure: relaxed

For the density of states at the Fermi level, the calculation gives 0.215 states/eV per atom. The value obtained for the magnetic moment is 0.00 μB per formula unit. The value obtained for the formation energy is -0.11 eV per atom. The space group is No. 225.

The structure in extended XYZ format:
```
4
Lattice="0.000 3.593 3.593 3.593 0.000 3.593 3.593 3.593 0.000" Properties=species:S:1:pos:R:3 pbc="T T T"
Na 0.000 0.000 0.000
Au 3.593 3.593 3.593
Sn 1.797 1.797 1.797
Sn 5.390 5.390 5.390
```

---

Compound: TmGa6Rh4
Source: Alexandria via LeMat-Bulk
Functional: PBE
Structure: relaxed

For the density of states at the Fermi level, the calculation gives 0.539 states/eV per atom. The value obtained for the magnetic moment is 0.00 μB per formula unit. The value obtained for the formation energy is -0.60 eV per atom. The space group is No. 121.

The structure in extended XYZ format:
```
11
Lattice="6.547 -0.157 -0.230 -3.166 5.733 0.230 -3.166 -1.894 5.416" Properties=species:S:1:pos:R:3 pbc="T T T"
Tm 0.000 0.000 0.000
Ga -4.452 4.009 3.079
Ga -4.452 1.389 4.860
Ga 3.505 0.378 0.556
Ga 1.691 -1.025 2.593
Ga -0.719 1.746 2.568
Ga 1.691 2.788 0.000
Rh -2.676 0.209 3.348
Rh 1.638 1.406 2.068
Rh -2.676 3.037 1.425
Rh -2.402 2.871 4.222
```